# 1
# PaGaHPd (PBE-GGA, relaxed)
data_PaGaHPd
_chemical_formula_sum 'Pa1 Ga1 H1 Pd1'
_space_group_name_H-M_alt 'P -6 m 2'
_space_group_IT_number 187
_space_group_name_Hall 'P -6 2'
_cell_length_a 4.4577
_cell_length_b 4.4577
_cell_length_c 3.6359
_cell_angle_alpha 90.00
_cell_angle_beta 90.00
_cell_angle_gamma 120.00
loop_
_atom_site_label
_atom_site_type_symbol
_atom_site_fract_x
_atom_site_fract_y
_atom_site_fract_z
_atom_site_occupancy
Pa1 Pa 0.0000 0.0000 0.0000 1
Ga1 Ga 0.3333 0.6667 0.5000 1
H1 H 0.6667 0.3333 0.0000 1
Pd1 Pd 0.6667 0.3333 0.5000 1
# E	-5.756	eV per atom

---

# 2
# PaGaHPt (PBE-GGA, relaxed)
data_PaGaHPt
_chemical_formula_sum 'Pa1 Ga1 H1 Pt1'
_space_group_name_H-M_alt 'P -6 m 2'
_space_group_IT_number 187
_space_group_name_Hall 'P -6 2'
_cell_length_a 4.4447
_cell_length_b 4.4447
_cell_length_c 3.6854
_cell_angle_alpha 90.00
_cell_angle_beta 90.00
_cell_angle_gamma 120.00
loop_
_atom_site_label
_atom_site_type_symbol
_atom_site_fract_x
_atom_site_fract_y
_atom_site_fract_z
_atom_site_occupancy
Pa1 Pa 0.0000 0.0000 0.0000 1
Ga1 Ga 0.3333 0.6667 0.5000 1
H1 H 0.6667 0.3333 0.0000 1
Pt1 Pt 0.6667 0.3333 0.5000 1
# E	-6.133	eV per atom

---

# 3
# PaGaH6Ru3 (PBE-GGA, relaxed)
data_PaGaH6Ru3
_chemical_formula_sum 'Pa3 Ga3 H18 Ru9'
_space_group_name_H-M_alt 'R 3 m'
_space_group_IT_number 160
_space_group_name_Hall 'R 3 -2"'
_cell_length_a 7.1230
_cell_length_b 7.1230
_cell_length_c 7.1396
_cell_angle_alpha 90.00
_cell_angle_beta 90.00
_cell_angle_gamma 120.00
loop_
_atom_site_label
_atom_site_type_symbol
_atom_site_fract_x
_atom_site_fract_y
_atom_site_fract_z
_atom_site_occupancy
Pa1 Pa 0.0000 0.0000 0.0000 1
Ga1 Ga 0.0000 0.0000 0.4002 1
H1 H 0.0034 0.3647 0.5072 1
Ru1 Ru 0.1995 0.3989 0.3396 1
# E	-5.668	eV per atom

---

# 4
# PaGaTc2H8 (PBE-GGA, relaxed)
data_PaGaTc2H8
_chemical_formula_sum 'Pa2 Ga2 Tc4 H16'
_space_group_name_H-M_alt 'C 1 2/m 1'
_space_group_IT_number 12
_space_group_name_Hall '-C 2y'
_cell_length_a 7.980
_cell_length_b 4.276
_cell_length_c 6.262
_cell_angle_alpha 90.00
_cell_angle_beta 114.07
_cell_angle_gamma 90.00
loop_
_atom_site_label
_atom_site_type_symbol
_atom_site_fract_x
_atom_site_fract_y
_atom_site_fract_z
_atom_site_occupancy
Pa1 Pa 0.000 0.000 0.000 1
Ga1 Ga 0.000 0.500 0.500 1
Tc1 Tc 0.213 0.000 0.649 1
H1 H 0.056 0.500 0.160 1
H2 H 0.187 0.259 0.842 1
H3 H 0.210 0.000 0.373 1
# E	-5.125	eV per atom

---

Question: Among the records above, which one has the lowest E?
Answer: PaGaHPt